A | A relaxed NaMoIO2 crystal. Source: Alexandria, functional GGA+U.

M_tot (μB per formula unit): 4.68

a = 4.3069 Å, b = 4.3069 Å, c = 5.6769 Å
α = 90.00°, β = 90.00°, γ = 90.00°
Sites, in units of the cell vectors:
Na: 0.0000 0.0000 0.0000
Mo: 0.5000 0.5000 0.5000
I: 0.0000 0.0000 0.5000
O: 0.0000 0.5000 0.0000
O: 0.5000 0.0000 0.0000

B | A relaxed NaMoIO2 crystal. Source: Alexandria, functional GGA+U.

M_tot (μB per formula unit): 2.00

a = 4.0322 Å, b = 4.0322 Å, c = 6.2328 Å
α = 90.00°, β = 90.00°, γ = 90.00°
Sites, in units of the cell vectors:
Na: 0.0000 0.0000 0.0000
Mo: 0.5000 0.5000 0.5000
I: 0.5000 0.5000 0.0000
O: 0.0000 0.5000 0.5000
O: 0.5000 0.0000 0.5000

According to the calculations, the structures order from most to least stable as B, A.